AsBr2Cl | GGA-PBEsol | optimized geometry

Output
Excess energy over the best structure of this formula in the dataset   11.96 kcal/mol of atoms

abc: 3.737 3.737 9.094
angles: 78.14 78.14 60.00
Positions (direct):
As 0.500 0.500 0.500
Br 0.899 0.899 0.303
Br 0.101 0.101 0.697
Cl 0.000 0.000 0.000

---

KRhBrO2 | GGA-PBEsol | optimized geometry

Output
Total energy   -2.986 eV per atom

abc: 4.355 4.355 6.301
angles: 90.00 90.00 90.00
Positions (direct):
K 0.000 0.000 0.000
Rh 0.000 0.000 0.500
O 0.000 0.500 0.000
O 0.500 0.000 0.000
Br 0.500 0.500 0.500

---

TaAlIn2Co | GGA-PBEsol | optimized geometry

Output
ΔH_f (0 K)   1153 meV/atom

abc: 4.327 5.424 5.424
angles: 90.00 90.00 90.00
Positions (direct):
In 0.000 0.000 0.500
In 0.000 0.500 0.000
Co 0.500 0.000 0.000
Al 0.500 0.500 0.500
Ta 0.000 0.000 0.000

---

TiV5P6O24 | GGA-PBEsol | optimized geometry

Output
Total energy   -8.314 eV per atom

abc: 8.353 8.353 8.353
angles: 61.54 61.54 61.54
Positions (direct):
Ti 0.858 0.858 0.858
V 0.999 0.999 0.999
V 0.361 0.361 0.361
V 0.501 0.501 0.501
V 0.141 0.141 0.141
V 0.640 0.640 0.640
P 0.455 0.751 0.042
P 0.751 0.042 0.455
P 0.042 0.455 0.751
P 0.959 0.541 0.252
P 0.252 0.959 0.541
P 0.541 0.252 0.959
O 0.679 0.886 0.498
O 0.886 0.498 0.679
O 0.498 0.679 0.886
O 0.253 0.908 0.059
O 0.613 0.825 0.996
O 0.444 0.594 0.245
O 0.908 0.059 0.253
O 0.594 0.245 0.444
O 0.000 0.385 0.179
O 0.245 0.444 0.594
O 0.941 0.744 0.093
O 0.179 0.000 0.385
O 0.825 0.996 0.613
O 0.059 0.253 0.908
O 0.755 0.558 0.408
O 0.996 0.613 0.825
O 0.408 0.755 0.558
O 0.093 0.941 0.744
O 0.558 0.408 0.755
O 0.385 0.179 0.000
O 0.744 0.093 0.941
O 0.501 0.322 0.116
O 0.116 0.501 0.322
O 0.322 0.116 0.501

---

no.,magnetic moment (μB per cell)
1,0.0
2,4.9
3,0.5
4,11.0